Entry 1:
Here is a relaxed structure of Na8Tl5Hg from the Alexandria database. Energies are from PBE.

Output
- space-group type = I-4
- ΔE_f (meV/atom) = -78
- density of states at the Fermi level (states/eV/atom) = 0.3972
- E (Ha/atom) = -0.0624

a b c (Å): 8.198 8.198 8.198
angles (deg): 109.79 108.84 109.79
Sites, in units of the cell vectors:
Na (0.361, 0.320, 0.447)
Na (0.757, 0.272, 0.364)
Na (0.515, 0.607, 0.243)
Na (0.127, 0.680, 0.041)
Na (0.553, 0.914, 0.873)
Na (0.959, 0.086, 0.639)
Na (0.636, 0.393, 0.908)
Na (0.092, 0.728, 0.485)
Hg (0.250, 0.500, 0.750)
Tl (0.802, 0.721, 0.722)
Tl (0.278, 0.081, 0.999)
Tl (0.500, 0.000, 0.500)
Tl (0.919, 0.919, 0.198)
Tl (0.001, 0.279, 0.081)


Entry 2:
Here is a relaxed structure of Na4TlHg2 from the Alexandria database. Energies are from PBE.

Output
- space-group type = R-3m
- ΔE_f (meV/atom) = -157
- density of states at the Fermi level (states/eV/atom) = 0.5287
- offset from the most stable computed form (eV/f.u.) = 0.023
- E (Ha/atom) = -0.0491

a b c (Å): 5.322 5.322 8.242
angles (deg): 71.16 71.16 60.00
Sites, in units of the cell vectors:
Hg (0.142, 0.142, 0.573)
Hg (0.858, 0.858, 0.427)
Tl (0.000, 0.000, 0.000)
Na (0.720, 0.720, 0.839)
Na (0.280, 0.280, 0.161)
Na (0.569, 0.569, 0.293)
Na (0.431, 0.431, 0.707)


Entry 3:
Here is a relaxed structure of Na6Tl3Hg from the Alexandria database. Energies are from PBE.

Output
- space-group type = P2_1/m
- ΔE_f (meV/atom) = -93
- density of states at the Fermi level (states/eV/atom) = 0.5044
- offset from the most stable computed form (eV/f.u.) = 0.355
- E (Ha/atom) = -0.0597

a b c (Å): 3.565 12.215 14.454
angles (deg): 106.91 90.00 90.00
Sites, in units of the cell vectors:
Tl (0.750, 0.414, 0.900)
Tl (0.750, 0.096, 0.072)
Tl (0.250, 0.586, 0.100)
Tl (0.750, 0.624, 0.507)
Tl (0.250, 0.904, 0.928)
Tl (0.250, 0.376, 0.493)
Na (0.750, 0.720, 0.302)
Na (0.750, 0.129, 0.477)
Na (0.250, 0.181, 0.270)
Na (0.750, 0.845, 0.117)
Na (0.250, 0.280, 0.698)
Na (0.750, 0.358, 0.101)
Na (0.250, 0.871, 0.523)
Na (0.250, 0.642, 0.899)
Na (0.250, 0.481, 0.314)
Na (0.750, 0.819, 0.730)
Na (0.250, 0.155, 0.883)
Na (0.750, 0.519, 0.686)
Hg (0.250, 0.942, 0.317)
Hg (0.750, 0.058, 0.683)


Entry 4:
Here is a relaxed structure of NaTlHg4 from the Alexandria database. Energies are from PBE.

Output
- space-group type = F-43m
- ΔE_f (meV/atom) = -63
- density of states at the Fermi level (states/eV/atom) = 0.6440
- offset from the most stable computed form (eV/f.u.) = 0.335
- E (Ha/atom) = -0.0323

a b c (Å): 6.191 6.191 6.191
angles (deg): 60.00 60.00 60.00
Sites, in units of the cell vectors:
Hg (0.126, 0.625, 0.625)
Hg (0.625, 0.625, 0.625)
Hg (0.625, 0.625, 0.126)
Hg (0.625, 0.126, 0.625)
Tl (0.000, 0.000, 0.000)
Na (0.250, 0.250, 0.250)


Entry 5:
Here is a relaxed structure of Na2TlHg from the Alexandria database. Energies are from PBE.

Output
- space-group type = P4/mmm
- ΔE_f (meV/atom) = -156
- density of states at the Fermi level (states/eV/atom) = 0.4812
- E (Ha/atom) = -0.0545

a b c (Å): 4.834 4.741 4.741
angles (deg): 90.00 90.00 90.00
Sites, in units of the cell vectors:
Na (0.000, 0.500, 0.000)
Na (0.000, 0.000, 0.500)
Hg (0.500, 0.500, 0.500)
Tl (0.500, 0.000, 0.000)


Entry 6:
Here is a relaxed structure of Na3TlHg3 from the Alexandria database. Energies are from PBE.

Output
- space-group type = P2_13
- ΔE_f (meV/atom) = -173
- density of states at the Fermi level (states/eV/atom) = 0.3549
- offset from the most stable computed form (eV/f.u.) = 0.000
- E (Ha/atom) = -0.0443

a b c (Å): 9.195 9.195 9.195
angles (deg): 90.00 90.00 90.00
Sites, in units of the cell vectors:
Na (0.875, 0.875, 0.875)
Na (0.707, 0.293, 0.793)
Na (0.625, 0.125, 0.375)
Na (0.658, 0.658, 0.658)
Na (0.125, 0.375, 0.625)
Na (0.158, 0.842, 0.342)
Na (0.342, 0.158, 0.842)
Na (0.793, 0.707, 0.293)
Na (0.207, 0.207, 0.207)
Na (0.842, 0.342, 0.158)
Na (0.375, 0.625, 0.125)
Na (0.293, 0.793, 0.707)
Tl (0.447, 0.447, 0.447)
Tl (0.053, 0.553, 0.947)
Tl (0.553, 0.947, 0.053)
Tl (0.947, 0.053, 0.553)
Hg (0.809, 0.402, 0.489)
Hg (0.989, 0.691, 0.598)
Hg (0.489, 0.809, 0.402)
Hg (0.691, 0.598, 0.989)
Hg (0.191, 0.902, 0.011)
Hg (0.598, 0.989, 0.691)
Hg (0.402, 0.489, 0.809)
Hg (0.511, 0.309, 0.098)
Hg (0.098, 0.511, 0.309)
Hg (0.309, 0.098, 0.511)
Hg (0.011, 0.191, 0.902)
Hg (0.902, 0.011, 0.191)


Entry 7:
Here is a relaxed structure of Na5Tl5Hg2 from the Alexandria database. Energies are from PBE.

Output
- space-group type = C2/m
- ΔE_f (meV/atom) = -138
- density of states at the Fermi level (states/eV/atom) = 0.3879
- offset from the most stable computed form (eV/f.u.) = 0.000
- E (Ha/atom) = -0.0633

a b c (Å): 4.539 7.763 11.179
angles (deg): 117.13 90.00 107.00
Sites, in units of the cell vectors:
Na (0.584, 0.167, 0.252)
Na (0.665, 0.330, 0.998)
Na (0.335, 0.670, 0.002)
Na (0.416, 0.833, 0.748)
Na (0.500, 0.000, 0.500)
Hg (0.918, 0.837, 0.244)
Hg (0.082, 0.163, 0.756)
Tl (0.000, 0.000, 0.000)
Tl (0.257, 0.514, 0.251)
Tl (0.164, 0.329, 0.498)
Tl (0.743, 0.486, 0.749)
Tl (0.836, 0.671, 0.502)


Entry 8:
Here is a relaxed structure of Na3Tl2Hg4 from the Alexandria database. Energies are from PBE.

Output
- space-group type = C2/m
- ΔE_f (meV/atom) = -191
- density of states at the Fermi level (states/eV/atom) = 0.2553
- offset from the most stable computed form (eV/f.u.) = 0.019
- E (Ha/atom) = -0.0474

a b c (Å): 5.204 6.243 9.702
angles (deg): 119.52 90.00 114.63
Sites, in units of the cell vectors:
Tl (0.382, 0.764, 0.717)
Tl (0.618, 0.236, 0.283)
Hg (0.945, 0.890, 0.609)
Hg (0.055, 0.110, 0.391)
Hg (0.725, 0.450, 0.054)
Hg (0.275, 0.550, 0.946)
Na (0.662, 0.325, 0.674)
Na (0.000, 0.000, 0.000)
Na (0.338, 0.675, 0.326)


Entry 9:
Here is a relaxed structure of Na5TlHg6 from the Alexandria database. Energies are from PBE.

Output
- space-group type = C2/m
- ΔE_f (meV/atom) = -222
- density of states at the Fermi level (states/eV/atom) = 0.3867
- E (Ha/atom) = -0.0411

a b c (Å): 5.373 7.322 9.224
angles (deg): 113.38 107.83 90.00
Sites, in units of the cell vectors:
Hg (0.500, 0.734, 0.000)
Hg (0.133, 0.913, 0.346)
Hg (0.500, 0.266, 0.000)
Hg (0.867, 0.087, 0.654)
Hg (0.867, 0.567, 0.654)
Hg (0.133, 0.433, 0.346)
Na (0.368, 0.332, 0.663)
Na (0.000, 0.500, 0.000)
Na (0.632, 0.668, 0.337)
Na (0.624, 0.159, 0.318)
Na (0.376, 0.841, 0.682)
Tl (0.000, 0.000, 0.000)


Entry 10:
Here is a relaxed structure of Na6TlHg6 from the Alexandria database. Energies are from PBE.

Output
- space-group type = Immm
- ΔE_f (meV/atom) = -171
- density of states at the Fermi level (states/eV/atom) = 0.4566
- offset from the most stable computed form (eV/f.u.) = 0.050
- E (Ha/atom) = -0.0404

a b c (Å): 6.177 8.300 8.300
angles (deg): 80.00 68.15 68.15
Sites, in units of the cell vectors:
Hg (0.000, 0.000, 0.500)
Hg (0.500, 0.248, 0.752)
Hg (0.000, 0.500, 0.000)
Hg (0.500, 0.500, 0.000)
Hg (0.500, 0.752, 0.248)
Hg (0.500, 0.000, 0.500)
Na (0.664, 0.836, 0.836)
Na (0.666, 0.334, 0.334)
Na (0.000, 0.322, 0.678)
Na (0.000, 0.678, 0.322)
Na (0.334, 0.666, 0.666)
Na (0.336, 0.164, 0.164)
Tl (0.000, 0.000, 0.000)


Entry 11:
Here is a relaxed structure of Na9Tl4Hg11 from the Alexandria database. Energies are from PBE.

Output
- space-group type = Cmmm
- ΔE_f (meV/atom) = -177
- density of states at the Fermi level (states/eV/atom) = 0.3776
- E (Ha/atom) = -0.0443

a b c (Å): 3.852 13.705 13.705
angles (deg): 115.59 90.00 90.00
Sites, in units of the cell vectors:
Tl (0.500, 0.440, 0.250)
Tl (0.500, 0.750, 0.560)
Tl (0.500, 0.250, 0.440)
Tl (0.500, 0.560, 0.750)
Hg (0.000, 0.748, 0.748)
Hg (0.000, 0.000, 0.000)
Hg (0.000, 0.043, 0.405)
Hg (0.000, 0.350, 0.650)
Hg (0.000, 0.835, 0.165)
Hg (0.000, 0.165, 0.835)
Hg (0.000, 0.252, 0.252)
Hg (0.000, 0.957, 0.595)
Hg (0.000, 0.595, 0.957)
Hg (0.000, 0.405, 0.043)
Hg (0.000, 0.650, 0.350)
Na (0.500, 0.146, 0.622)
Na (0.500, 0.206, 0.040)
Na (0.500, 0.794, 0.960)
Na (0.500, 0.622, 0.146)
Na (0.500, 0.378, 0.854)
Na (0.500, 0.854, 0.378)
Na (0.500, 0.040, 0.206)
Na (0.500, 0.960, 0.794)
Na (0.500, 0.500, 0.500)


Entry 12:
Here is a relaxed structure of Na9Tl2Hg3 from the Alexandria database. Energies are from PBE.

Output
- space-group type = Immm
- ΔE_f (meV/atom) = -84
- density of states at the Fermi level (states/eV/atom) = 0.4653
- E (Ha/atom) = -0.0491

a b c (Å): 5.485 14.644 9.284
angles (deg): 142.07 107.22 90.00
Sites, in units of the cell vectors:
Hg (0.692, 0.692, 0.384)
Hg (0.308, 0.308, 0.616)
Hg (0.000, 0.000, 0.000)
Na (0.666, 0.065, 0.333)
Na (0.334, 0.732, 0.667)
Na (0.844, 0.635, 0.686)
Na (0.156, 0.365, 0.314)
Na (0.844, 0.051, 0.686)
Na (0.666, 0.268, 0.333)
Na (0.000, 0.500, 0.000)
Na (0.156, 0.949, 0.314)
Na (0.334, 0.935, 0.667)
Tl (0.500, 0.677, 0.000)
Tl (0.500, 0.323, 0.000)


Entry 13:
Here is a relaxed structure of NaTl2Hg9 from the Alexandria database. Energies are from PBE.

Output
- space-group type = P4/mmm
- ΔE_f (meV/atom) = -77
- density of states at the Fermi level (states/eV/atom) = 0.2702
- E (Ha/atom) = -0.0297

a b c (Å): 4.946 4.946 13.518
angles (deg): 90.00 90.00 90.00
Sites, in units of the cell vectors:
Hg (0.500, 0.000, 0.838)
Hg (0.500, 0.500, 0.332)
Hg (0.000, 0.500, 0.500)
Hg (0.000, 0.500, 0.162)
Hg (0.500, 0.000, 0.500)
Hg (0.500, 0.500, 0.000)
Hg (0.500, 0.000, 0.162)
Hg (0.500, 0.500, 0.668)
Hg (0.000, 0.500, 0.838)
Tl (0.000, 0.000, 0.667)
Tl (0.000, 0.000, 0.333)
Na (0.000, 0.000, 0.000)


Entry 14:
Here is a relaxed structure of Na16TlHg12 from the Alexandria database. Energies are from PBE.

Output
- space-group type = Cm
- ΔE_f (meV/atom) = -197
- density of states at the Fermi level (states/eV/atom) = 0.4490
- E (Ha/atom) = -0.0416

a b c (Å): 10.014 10.014 10.118
angles (deg): 109.42 109.42 108.86
Sites, in units of the cell vectors:
Na (0.000, 0.696, 0.411)
Na (0.341, 0.341, 0.320)
Na (0.680, 0.418, 0.007)
Na (0.656, 0.003, 0.002)
Na (0.994, 0.994, 0.674)
Na (0.715, 0.321, 0.309)
Na (0.584, 0.278, 0.585)
Na (0.696, 0.000, 0.411)
Na (0.003, 0.656, 0.002)
Na (0.321, 0.715, 0.309)
Na (0.278, 0.584, 0.585)
Na (0.997, 0.407, 0.686)
Na (0.418, 0.680, 0.007)
Na (0.297, 0.297, 0.707)
Na (0.998, 0.998, 0.008)
Na (0.407, 0.997, 0.686)
Hg (0.816, 0.816, 0.181)
Hg (0.384, 0.002, 0.191)
Hg (0.000, 0.196, 0.371)
Hg (0.196, 0.000, 0.371)
Hg (0.182, 0.367, 0.986)
Hg (0.002, 0.384, 0.191)
Hg (0.619, 0.619, 0.814)
Hg (0.823, 0.624, 0.638)
Hg (0.624, 0.823, 0.638)
Hg (0.799, 0.189, 0.809)
Hg (0.367, 0.182, 0.986)
Hg (0.189, 0.799, 0.809)
Tl (0.613, 0.613, 0.303)


Entry 15:
Here is a relaxed structure of Na5Tl2Hg4 from the Alexandria database. Energies are from PBE.

Output
- space-group type = C2/m
- ΔE_f (meV/atom) = -177
- density of states at the Fermi level (states/eV/atom) = 0.3710
- offset from the most stable computed form (eV/f.u.) = 0.000
- E (Ha/atom) = -0.0484

a b c (Å): 6.868 6.395 9.411
angles (deg): 94.21 68.60 57.52
Sites, in units of the cell vectors:
Na (0.798, 0.127, 0.778)
Na (0.202, 0.873, 0.222)
Na (0.297, 0.127, 0.778)
Na (0.703, 0.873, 0.222)
Na (0.000, 0.500, 0.500)
Hg (0.291, 0.309, 0.110)
Hg (0.367, 0.773, 0.493)
Hg (0.633, 0.227, 0.507)
Hg (0.709, 0.691, 0.890)
Tl (0.225, 0.677, 0.873)
Tl (0.775, 0.323, 0.127)


Entry 16:
Here is a relaxed structure of Na12TlHg6 from the Alexandria database. Energies are from PBE.

Output
- space-group type = R-3
- ΔE_f (meV/atom) = -161
- density of states at the Fermi level (states/eV/atom) = 0.4193
- offset from the most stable computed form (eV/f.u.) = 0.000
- E (Ha/atom) = -0.0446

a b c (Å): 8.171 8.171 8.171
angles (deg): 88.96 88.96 88.96
Sites, in units of the cell vectors:
Hg (0.278, 0.118, 0.731)
Hg (0.722, 0.882, 0.269)
Hg (0.269, 0.722, 0.882)
Hg (0.882, 0.269, 0.722)
Hg (0.118, 0.731, 0.278)
Hg (0.731, 0.278, 0.118)
Na (0.853, 0.628, 0.981)
Na (0.372, 0.019, 0.147)
Na (0.468, 0.572, 0.194)
Na (0.019, 0.147, 0.372)
Na (0.194, 0.468, 0.572)
Na (0.981, 0.853, 0.628)
Na (0.428, 0.806, 0.532)
Na (0.572, 0.194, 0.468)
Na (0.628, 0.981, 0.853)
Na (0.806, 0.532, 0.428)
Na (0.532, 0.428, 0.806)
Na (0.147, 0.372, 0.019)
Tl (0.000, 0.000, 0.000)


Entry 17:
Here is a relaxed structure of Na2Tl2Hg from the Alexandria database. Energies are from PBE.

Output
- space-group type = I4/mmm
- ΔE_f (meV/atom) = -37
- density of states at the Fermi level (states/eV/atom) = 0.4368
- offset from the most stable computed form (eV/f.u.) = 0.626
- E (Ha/atom) = -0.0578

a b c (Å): 4.392 4.392 8.880
angles (deg): 75.68 75.68 90.00
Sites, in units of the cell vectors:
Hg (0.000, 0.000, 0.000)
Tl (0.750, 0.250, 0.500)
Tl (0.250, 0.750, 0.500)
Na (0.405, 0.405, 0.191)
Na (0.595, 0.595, 0.809)


Entry 18:
Here is a relaxed structure of Na3Tl2Hg6 from the Alexandria database. Energies are from PBE.

Output
- space-group type = I4/mmm
- ΔE_f (meV/atom) = -26
- density of states at the Fermi level (states/eV/atom) = 0.2944
- offset from the most stable computed form (eV/f.u.) = 1.035
- E (Ha/atom) = -0.0360

a b c (Å): 5.977 5.977 11.883
angles (deg): 104.57 104.57 90.00
Sites, in units of the cell vectors:
Hg (0.282, 0.282, 0.564)
Hg (0.929, 0.429, 0.858)
Hg (0.071, 0.571, 0.142)
Hg (0.429, 0.929, 0.858)
Hg (0.571, 0.071, 0.142)
Hg (0.718, 0.718, 0.436)
Na (0.855, 0.855, 0.709)
Na (0.145, 0.145, 0.291)
Na (0.000, 0.000, 0.000)
Tl (0.572, 0.572, 0.145)
Tl (0.428, 0.428, 0.855)


Entry 19:
Here is a relaxed structure of Na2TlHg from the Alexandria database. Energies are from PBE.

Output
- space-group type = Immm
- ΔE_f (meV/atom) = 28
- density of states at the Fermi level (states/eV/atom) = 0.4660
- E (Ha/atom) = -0.0477

a b c (Å): 7.129 7.129 7.129
angles (deg): 55.42 150.69 134.08
Sites, in units of the cell vectors:
Hg (0.000, 0.000, 0.000)
Na (0.000, 0.761, 0.761)
Na (0.000, 0.239, 0.239)
Tl (0.000, 0.500, 0.500)